Below is an optimized crystal structure of NbMoO2, with properties calculated at the PBE+U level.

The structure in POSCAR format:
```
NbMoO2
1.0
0.000 2.857 2.857
2.857 0.000 2.857
2.857 2.857 0.000
Nb Mo O
1 1 2
Direct
0.000 0.000 0.000
0.500 0.500 0.500
0.250 0.250 0.250
0.750 0.750 0.750
```

Summary:
VASP energy   -7.1858 eV/atom
SG   Fm-3m